## Hf3IrO (PBE)

Data for a relaxed structure of Hf3IrO.

abc: 7.146 7.146 7.890
angles: 96.58 96.58 25.71
Element x y z (fractional)
Hf (0.029, 0.029, 0.313)
Hf (0.146, 0.146, 0.972)
Hf (0.336, 0.336, 0.400)
Hf (0.664, 0.664, 0.600)
Hf (0.854, 0.854, 0.028)
Hf (0.971, 0.971, 0.687)
Ir (0.311, 0.311, 0.752)
Ir (0.689, 0.689, 0.248)
O (0.428, 0.428, 0.194)
O (0.572, 0.572, 0.806)

Results
SG	C2/m (12)
VASP energy	-101.51	eV per cell